# CsSc2Sb (PBE, optimized geometry)
# Raw formation energy in meV per atom: 22
# Magnetization in μB per cell: 0.000
# Volume in Å³ per cell: 437
data_CsSc2Sb
_space_group_name_H-M_alt 'R -3 m'
_space_group_IT_number 166
_space_group_name_Hall '-R 3 2"'
_cell_length_a 3.9261
_cell_length_b 3.9261
_cell_length_c 32.7256
_cell_angle_alpha 90.00
_cell_angle_beta 90.00
_cell_angle_gamma 120.00
loop_
_atom_site_label
_atom_site_type_symbol
_atom_site_fract_x
_atom_site_fract_y
_atom_site_fract_z
Cs1 Cs 0.0000 0.0000 0.0000
Sc1 Sc 0.0000 0.0000 0.1133
Sb1 Sb 0.0000 0.0000 0.5000